[1]
Below is a relaxed ScTlHgSe3 crystal, with properties calculated at the PBE level.

Calculated values
E (eV per atom): -4.019
Energy relative to the lowest polymorph listed for this composition (meV/atom): 51.5
Space-group type: Pnma
Spin magnetization (μB per atom): 0.00

Cell lengths 12.3254, 4.0688, 12.7315 Å; angles 90.00, 90.00, 90.00 degrees
Closest atoms and distances in Å follow each position.
Sites, in units of the cell vectors:
1 Se 0.5780 0.0000 0.0667  1 Hg 2.61, 2 Sc 2.79
2 Se 0.5337 0.5000 0.6879  1 Hg 2.71, 2 Sc 2.79
3 Se 0.4663 0.0000 0.3121  1 Hg 2.71, 2 Sc 2.79
4 Se 0.9663 0.0000 0.1879  1 Hg 2.71, 2 Sc 2.79
5 Se 0.7453 0.5000 0.3393  1 Sc 2.63, 2 Hg 2.77
6 Se 0.7547 0.0000 0.8393  1 Sc 2.63, 2 Hg 2.77
7 Se 0.9220 0.5000 0.5667  1 Hg 2.61, 2 Sc 2.79
8 Se 0.0780 0.0000 0.4333  1 Hg 2.61, 2 Sc 2.79
9 Se 0.2453 0.5000 0.1607  1 Sc 2.63, 2 Hg 2.77
10 Se 0.4220 0.5000 0.9333  1 Hg 2.61, 2 Sc 2.79
11 Se 0.2547 0.0000 0.6607  1 Sc 2.63, 2 Hg 2.77
12 Se 0.0337 0.5000 0.8121  1 Hg 2.71, 2 Sc 2.79
13 Tl 0.3564 0.5000 0.5059  3 Se 3.10-3.18
14 Tl 0.1436 0.0000 0.0059  3 Se 3.10-3.18
15 Tl 0.6436 0.0000 0.4941  3 Se 3.10-3.18
16 Tl 0.8564 0.5000 0.9941  3 Se 3.10-3.18
17 Sc 0.0413 0.0000 0.6628  5 Se 2.63-2.79
18 Sc 0.4587 0.5000 0.1628  5 Se 2.63-2.79
19 Sc 0.9587 0.5000 0.3372  5 Se 2.63-2.79
20 Sc 0.5413 0.0000 0.8372  5 Se 2.63-2.79
21 Hg 0.2464 0.0000 0.3085  4 Se 2.61-2.77
22 Hg 0.7536 0.5000 0.6915  4 Se 2.61-2.77
23 Hg 0.2536 0.5000 0.8085  4 Se 2.61-2.77
24 Hg 0.7464 0.0000 0.1915  4 Se 2.61-2.77


[2]
Below is a relaxed Sc2Sn2Hg crystal, with properties calculated at the PBE level.

Calculated values
E (eV per atom): -4.357
Energy relative to the lowest polymorph listed for this composition (meV/atom): 0.0
Space-group type: I4/mmm
Spin magnetization (μB per atom): 0.02

Cell lengths 7.9583, 7.9583, 7.9583 Å; angles 149.97, 149.97, 42.98 degrees
Closest atoms and distances in Å follow each position.
Sites, in units of the cell vectors:
1 Sn 0.2500 0.7500 0.5000  4 Sn 2.92, 4 Sc 3.04
2 Sn 0.7500 0.2500 0.5000  4 Sn 2.92, 4 Sc 3.04
3 Sc 0.4006 0.4006 0.0000  1 Sc 2.94, 4 Sn 3.04, 4 Hg 3.27
4 Sc 0.5994 0.5994 0.0000  1 Sc 2.94, 4 Sn 3.04, 4 Hg 3.27
5 Hg 0.0000 0.0000 0.0000  8 Sc 3.27


[3]
Below is a relaxed Sc2SnHg crystal, with properties calculated at the PBE level.

Calculated values
E (eV per atom): -4.246
Space-group type: F-43m
Spin magnetization (μB per atom): 0.33

Cell lengths 5.1077, 5.1077, 5.1077 Å; angles 60.00, 60.00, 60.00 degrees
Closest atoms and distances in Å follow each position.
Sites, in units of the cell vectors:
1 Sc 0.7500 0.7500 0.7500  4 Sc 3.13, 4 Sn 3.13
2 Sc 0.0000 0.0000 0.0000  4 Sc 3.13, 4 Hg 3.13
3 Hg 0.2500 0.2500 0.2500  4 Sn 3.13, 4 Sc 3.13
4 Sn 0.5000 0.5000 0.5000  4 Sc 3.13, 4 Hg 3.13


[4]
Below is a relaxed ScSn2Hg crystal, with properties calculated at the PBE level.

Calculated values
E (eV per atom): -3.748
Space-group type: F-43m
Spin magnetization (μB per atom): 0.07

Cell lengths 5.2023, 5.2023, 5.2023 Å; angles 60.00, 60.00, 60.00 degrees
Closest atoms and distances in Å follow each position.
Sites, in units of the cell vectors:
1 Sc 0.5000 0.5000 0.5000  4 Sn 3.19, 4 Hg 3.19
2 Sn 0.7500 0.7500 0.7500  4 Sc 3.19, 4 Sn 3.19
3 Sn 0.0000 0.0000 0.0000  4 Hg 3.19, 4 Sn 3.19
4 Hg 0.2500 0.2500 0.2500  4 Sc 3.19, 4 Sn 3.19


[5]
Below is a relaxed Sc2Sn2Hg crystal, with properties calculated at the PBE level.

Calculated values
E (eV per atom): -4.256
Energy relative to the lowest polymorph listed for this composition (meV/atom): 101.0
Space-group type: I4/mmm
Spin magnetization (μB per atom): 0.00

Cell lengths 5.0045, 5.0045, 6.6916 Å; angles 111.96, 111.96, 90.00 degrees
Closest atoms and distances in Å follow each position.
Sites, in units of the cell vectors:
1 Sc 0.7500 0.2500 0.5000  4 Sn 2.90
2 Sc 0.2500 0.7500 0.5000  4 Sn 2.90
3 Sn 0.6204 0.6204 0.2407  1 Sn 2.73, 4 Sc 2.90
4 Sn 0.3796 0.3796 0.7593  1 Sn 2.73, 4 Sc 2.90
5 Hg 0.0000 0.0000 0.0000  8 Sc 3.78, 8 Sn 3.79


[6]
Below is a relaxed Sc2Sn3Hg2 crystal, with properties calculated at the PBE level.

Calculated values
E (eV per atom): -3.846
Space-group type: R3m
Spin magnetization (μB per atom): 0.00

Cell lengths 8.3547, 8.3547, 8.3547 Å; angles 34.69, 34.69, 34.69 degrees
Closest atoms and distances in Å follow each position.
Sites, in units of the cell vectors:
1 Sn 0.6232 0.6232 0.6232  6 Sn 3.15-3.23, 4 Sc 3.16-3.51, 1 Hg 3.38
2 Sn 0.3444 0.3444 0.3444  3 Sn 3.15, 4 Hg 3.18-3.22, 4 Sc 3.30-3.43
3 Sn 0.8941 0.8941 0.8941  4 Sc 2.93-3.22, 3 Sn 3.23
4 Hg 0.0722 0.0722 0.0722  4 Sc 2.91-3.11, 3 Sn 3.22
5 Hg 0.4794 0.4794 0.4794  6 Sc 3.16-3.19, 5 Sn 3.18-3.45, 3 Hg 3.36
6 Sc 0.2044 0.2044 0.2044  3 Sn 2.93, 4 Hg 3.11-3.19
7 Sc 0.7574 0.7574 0.7574  6 Hg 2.91-3.16, 2 Sn 3.16-3.22


[7]
Below is a relaxed SrScHg6 crystal, with properties calculated at the PBE level.

Calculated values
E (eV per atom): -1.499
Space-group type: P-6m2
Spin magnetization (μB per atom): 0.00

Cell lengths 6.6266, 6.6266, 5.0407 Å; angles 90.00, 90.00, 120.00 degrees
Closest atoms and distances in Å follow each position.
Sites, in units of the cell vectors:
1 Sr 0.0000 0.0000 0.5000  12 Hg 3.22-3.31
2 Hg 0.8257 0.1743 0.0000  8 Hg 3.16-3.47, 2 Sr 3.22, 2 Sc 3.31
3 Hg 0.8257 0.6514 0.0000  8 Hg 3.16-3.47, 2 Sr 3.22, 2 Sc 3.31
4 Hg 0.4944 0.9888 0.5000  2 Sc 3.13, 8 Hg 3.16-3.43, 2 Sr 3.31
5 Hg 0.3486 0.1743 0.0000  8 Hg 3.16-3.47, 2 Sr 3.22, 2 Sc 3.31
6 Hg 0.4944 0.5056 0.5000  2 Sc 3.13, 8 Hg 3.16-3.43, 2 Sr 3.31
7 Hg 0.0112 0.5056 0.5000  2 Sc 3.13, 8 Hg 3.16-3.43, 2 Sr 3.31
8 Sc 0.3333 0.6667 0.0000  12 Hg 3.13-3.31


[8]
Below is a relaxed TbScHg6 crystal, with properties calculated at the PBE level.

Calculated values
E (eV per atom): -1.880
Energy of formation (eV/f.u.): -2.30
Space-group type: P-6m2
Spin magnetization (μB per atom): 0.00

Cell lengths 6.5408, 6.5408, 4.9572 Å; angles 90.00, 90.00, 120.00 degrees
Closest atoms and distances in Å follow each position.
Sites, in units of the cell vectors:
1 Hg 0.1624 0.8376 0.5000  2 Sc 3.09, 8 Hg 3.13-3.35, 2 Tb 3.27
2 Hg 0.0029 0.5015 0.0000  2 Tb 3.13, 8 Hg 3.13-3.30, 2 Sc 3.27
3 Hg 0.6753 0.8376 0.5000  2 Sc 3.09, 8 Hg 3.13-3.35, 2 Tb 3.27
4 Hg 0.1624 0.3247 0.5000  2 Sc 3.09, 8 Hg 3.13-3.35, 2 Tb 3.27
5 Hg 0.4985 0.9971 0.0000  2 Tb 3.13, 8 Hg 3.13-3.30, 2 Sc 3.27
6 Hg 0.4985 0.5015 0.0000  2 Tb 3.13, 8 Hg 3.13-3.30, 2 Sc 3.27
7 Sc 0.0000 0.0000 0.0000  12 Hg 3.09-3.27
8 Tb 0.6667 0.3333 0.5000  12 Hg 3.13-3.27


[9]
Below is a relaxed TbScHg6 crystal, with properties calculated at the PBE level.

Calculated values
E (eV per atom): -1.880
Energy of formation (eV/f.u.): -2.29
Space-group type: Amm2
Spin magnetization (μB per atom): 0.00

Cell lengths 4.9502, 6.5328, 6.5328 Å; angles 60.02, 90.00, 90.00 degrees
Closest atoms and distances in Å follow each position.
Sites, in units of the cell vectors:
1 Tb 0.5000 0.4157 0.4157  12 Hg 3.13-3.27
2 Hg 0.5000 0.9216 0.9216  2 Sc 3.09, 8 Hg 3.12-3.35, 2 Tb 3.27
3 Hg 0.0000 0.5844 0.5844  8 Hg 3.12-3.30, 2 Tb 3.13, 2 Sc 3.27
4 Hg 0.0000 0.5862 0.0784  8 Hg 3.12-3.32, 2 Tb 3.13, 2 Sc 3.26-3.28
5 Hg 0.5000 0.4093 0.9196  2 Sc 3.08, 8 Hg 3.12-3.35, 2 Tb 3.26-3.27
6 Hg 0.5000 0.9196 0.4093  2 Sc 3.08, 8 Hg 3.12-3.35, 2 Tb 3.26-3.27
7 Hg 0.0000 0.0784 0.5862  8 Hg 3.12-3.32, 2 Tb 3.13, 2 Sc 3.26-3.28
8 Sc 0.0000 0.0845 0.0845  12 Hg 3.08-3.28


[10]
Below is a relaxed ScHgTe crystal, with properties calculated at the PBE level.

Calculated values
E (eV per atom): -3.451
Energy relative to the lowest polymorph listed for this composition (meV/atom): 276.8
Space-group type: F-43m
Spin magnetization (μB per atom): 0.01

Cell lengths 5.0213, 5.0213, 5.0213 Å; angles 60.00, 60.00, 60.00 degrees
Closest atoms and distances in Å follow each position.
Sites, in units of the cell vectors:
1 Hg 0.2500 0.2500 0.2500  4 Te 3.07
2 Te 0.0000 0.0000 0.0000  4 Hg 3.07, 4 Sc 3.07
3 Sc 0.7500 0.7500 0.7500  4 Te 3.07


[11]
Below is a relaxed ScTlHgTe3 crystal, with properties calculated at the PBE level.

Calculated values
E (eV per atom): -3.621
Energy relative to the lowest polymorph listed for this composition (meV/atom): 56.9
Space-group type: Pnma
Spin magnetization (μB per atom): 0.00

Cell lengths 13.0495, 4.3659, 13.3877 Å; angles 90.00, 90.00, 90.00 degrees
Closest atoms and distances in Å follow each position.
Sites, in units of the cell vectors:
1 Hg 0.2497 0.0000 0.3044  4 Te 2.81-2.91
2 Hg 0.2503 0.5000 0.8044  4 Te 2.81-2.91
3 Hg 0.7503 0.5000 0.6956  4 Te 2.81-2.91
4 Hg 0.7497 0.0000 0.1956  4 Te 2.81-2.91
5 Te 0.4205 0.5000 0.9326  1 Hg 2.81, 2 Sc 3.01
6 Te 0.9705 0.0000 0.1749  1 Hg 2.89, 2 Sc 3.02
7 Te 0.5295 0.5000 0.6749  1 Hg 2.89, 2 Sc 3.02
8 Te 0.0295 0.5000 0.8251  1 Hg 2.89, 2 Sc 3.02
9 Te 0.5795 0.0000 0.0674  1 Hg 2.81, 2 Sc 3.01
10 Te 0.7576 0.0000 0.8386  1 Sc 2.85, 2 Hg 2.91
11 Te 0.0795 0.0000 0.4326  1 Hg 2.81, 2 Sc 3.01
12 Te 0.9205 0.5000 0.5674  1 Hg 2.81, 2 Sc 3.01
13 Te 0.4705 0.0000 0.3251  1 Hg 2.89, 2 Sc 3.02
14 Te 0.2424 0.5000 0.1614  1 Sc 2.85, 2 Hg 2.91
15 Te 0.2576 0.0000 0.6614  1 Sc 2.85, 2 Hg 2.91
16 Te 0.7424 0.5000 0.3386  1 Sc 2.85, 2 Hg 2.91
17 Sc 0.4606 0.5000 0.1699  5 Te 2.85-3.02
18 Sc 0.0394 0.0000 0.6699  5 Te 2.85-3.02
19 Sc 0.5394 0.0000 0.8301  5 Te 2.85-3.02
20 Sc 0.9606 0.5000 0.3301  5 Te 2.85-3.02
21 Tl 0.1534 0.0000 0.9935  5 Te 3.34-3.53, 2 Hg 3.57
22 Tl 0.3466 0.5000 0.4935  5 Te 3.34-3.53, 2 Hg 3.57
23 Tl 0.8466 0.5000 0.0065  5 Te 3.34-3.53, 2 Hg 3.57
24 Tl 0.6534 0.0000 0.5065  5 Te 3.34-3.53, 2 Hg 3.57


[12]
Below is a relaxed ScTlHgTe3 crystal, with properties calculated at the PBE level.

Calculated values
E (eV per atom): -3.674
Energy relative to the lowest polymorph listed for this composition (meV/atom): 3.6
Space-group type: Cmcm
Spin magnetization (μB per atom): 0.00

Cell lengths 7.9774, 7.9774, 11.2796 Å; angles 90.00, 90.00, 31.01 degrees
Closest atoms and distances in Å follow each position.
Sites, in units of the cell vectors:
1 Hg 0.4557 0.4557 0.2500  4 Te 2.79-2.86
2 Hg 0.5443 0.5443 0.7500  4 Te 2.79-2.86
3 Sc 0.0000 0.0000 0.5000  6 Te 2.99-3.08
4 Sc 0.0000 0.0000 0.0000  6 Te 2.99-3.08
5 Tl 0.7625 0.7625 0.2500  8 Te 3.52-3.77, 2 Hg 3.66
6 Tl 0.2375 0.2375 0.7500  8 Te 3.52-3.77, 2 Hg 3.66
7 Te 0.3659 0.3659 0.4651  1 Hg 2.79, 2 Sc 2.99
8 Te 0.9200 0.9200 0.7500  2 Hg 2.86, 2 Sc 3.08
9 Te 0.3659 0.3659 0.0349  1 Hg 2.79, 2 Sc 2.99
10 Te 0.6341 0.6341 0.9651  1 Hg 2.79, 2 Sc 2.99
11 Te 0.6341 0.6341 0.5349  1 Hg 2.79, 2 Sc 2.99
12 Te 0.0800 0.0800 0.2500  2 Hg 2.86, 2 Sc 3.08